[1]
Entry from Alexandria: Th6C4N after structural relaxation (GGA-PBE).

Cell lengths 7.4699, 7.4699, 7.4699 Å; angles 90.75, 90.75, 90.75 degrees
Element x y z (fractional)
1 Th 0.0550 0.9025 0.6906
2 Th 0.0975 0.3094 0.9450
3 Th 0.1906 0.4025 0.5550
4 Th 0.3094 0.9450 0.0975
5 Th 0.4025 0.5550 0.1906
6 Th 0.4450 0.8094 0.5975
7 Th 0.5550 0.1906 0.4025
8 Th 0.5975 0.4450 0.8094
9 Th 0.6906 0.0550 0.9025
10 Th 0.8094 0.5975 0.4450
11 Th 0.9025 0.6906 0.0550
12 Th 0.9450 0.0975 0.3094
13 C 0.1474 0.7500 0.3526
14 C 0.2500 0.2500 0.2500
15 C 0.2500 0.6474 0.8526
16 C 0.3526 0.1474 0.7500
17 C 0.6474 0.8526 0.2500
18 C 0.7500 0.3526 0.1474
19 C 0.7500 0.7500 0.7500
20 C 0.8526 0.2500 0.6474
21 N 0.0000 0.0000 0.0000
22 N 0.5000 0.5000 0.5000

Calculated values
M_tot = 0.00 μB/f.u.
Uncorrected energy = -8.2609 eV/atom


[2]
Entry from Alexandria: Th5C4N after structural relaxation (GGA-PBE).

Cell lengths 13.6932, 13.6932, 13.6932 Å; angles 164.25, 164.25, 22.34 degrees
Element x y z (fractional)
1 Th 0.0000 0.0000 0.0000
2 Th 0.2008 0.2008 0.0000
3 Th 0.3997 0.3997 0.0000
4 Th 0.6003 0.6003 0.0000
5 Th 0.7992 0.7992 0.0000
6 C 0.0950 0.0950 0.0000
7 C 0.3016 0.3016 0.0000
8 C 0.6984 0.6984 0.0000
9 C 0.9050 0.9050 0.0000
10 N 0.5000 0.5000 0.0000

Calculated values
M_tot = 0.00 μB/f.u.
Uncorrected energy = -8.7783 eV/atom


[3]
Entry from Alexandria: Th2CN after structural relaxation (GGA-PBE).

Cell lengths 4.2752, 4.2752, 6.0569 Å; angles 90.00, 90.00, 90.00 degrees
Element x y z (fractional)
1 Th 0.0000 0.5000 0.1709
2 Th 0.5000 0.0000 0.8291
3 C 0.5000 0.5000 0.0000
4 N 0.0000 0.0000 0.0000

Calculated values
M_tot = 0.61 μB/f.u.
Uncorrected energy = -8.7361 eV/atom


[4]
Entry from Alexandria: Th6C5N after structural relaxation (GGA-PBE).

Cell lengths 6.5346, 6.5346, 6.5296 Å; angles 99.58, 99.58, 120.03 degrees
Element x y z (fractional)
1 Th 0.0834 0.4156 0.7502
2 Th 0.2489 0.2489 0.2505
3 Th 0.4156 0.0834 0.7502
4 Th 0.5844 0.9166 0.2498
5 Th 0.7511 0.7511 0.7495
6 Th 0.9166 0.5844 0.2498
7 C 0.1671 0.8329 0.0000
8 C 0.3329 0.6671 0.5000
9 C 0.5000 0.5000 0.0000
10 C 0.6671 0.3329 0.5000
11 C 0.8329 0.1671 0.0000
12 N 0.0000 0.0000 0.5000

Calculated values
M_tot = 0.00 μB/f.u.
Uncorrected energy = -8.7473 eV/atom


[5]
Entry from Alexandria: Th2CN6 after structural relaxation (GGA-PBE).

Cell lengths 3.8470, 3.8470, 12.5567 Å; angles 98.63, 98.63, 59.98 degrees
Element x y z (fractional)
1 Th 0.0935 0.0935 0.2723
2 Th 0.9065 0.9065 0.7277
3 C 0.5000 0.5000 0.5000
4 N 0.0162 0.0162 0.0452
5 N 0.2554 0.2554 0.7756
6 N 0.4685 0.4685 0.3999
7 N 0.5315 0.5315 0.6001
8 N 0.7446 0.7446 0.2244
9 N 0.9838 0.9838 0.9548

Calculated values
M_tot = 0.00 μB/f.u.
Uncorrected energy = -9.0440 eV/atom


[6]
Entry from Alexandria: Th4C2N after structural relaxation (GGA-PBE).

Cell lengths 12.2904, 12.2904, 12.2904 Å; angles 17.28, 17.28, 17.28 degrees
Element x y z (fractional)
1 Th 0.1238 0.1238 0.1238
2 Th 0.2920 0.2920 0.2920
3 Th 0.7080 0.7080 0.7080
4 Th 0.8762 0.8762 0.8762
5 C 0.4188 0.4188 0.4188
6 C 0.5812 0.5812 0.5812
7 N 0.0000 0.0000 0.0000

Calculated values
M_tot = 0.00 μB/f.u.
Uncorrected energy = -8.7051 eV/atom


[7]
Entry from Alexandria: ThCN2 after structural relaxation (GGA-PBE).

Cell lengths 4.2853, 3.9911, 6.9854 Å; angles 90.00, 99.15, 90.00 degrees
Element x y z (fractional)
1 Th 0.2095 0.2500 0.3331
2 Th 0.7905 0.7500 0.6669
3 C 0.4025 0.2500 0.8350
4 C 0.5975 0.7500 0.1650
5 N 0.1690 0.2500 0.9063
6 N 0.2524 0.7500 0.5187
7 N 0.7476 0.2500 0.4813
8 N 0.8310 0.7500 0.0937

Calculated values
M_tot = 0.00 μB/f.u.
Uncorrected energy = -9.1346 eV/atom


[8]
Entry from Alexandria: Th2CN after structural relaxation (GGA-PBE).

Cell lengths 6.4309, 6.4309, 6.4309 Å; angles 33.88, 33.88, 33.88 degrees
Element x y z (fractional)
1 Th 0.2504 0.2504 0.2504
2 Th 0.7496 0.7496 0.7496
3 C 0.5000 0.5000 0.5000
4 N 0.0000 0.0000 0.0000

Calculated values
M_tot = 0.00 μB/f.u.
Uncorrected energy = -9.0387 eV/atom


[9]
Entry from Alexandria: Th2CN after structural relaxation (GGA-PBE).

Cell lengths 6.6934, 6.6934, 6.6934 Å; angles 31.56, 31.56, 31.56 degrees
Element x y z (fractional)
1 Th 0.0000 0.0000 0.0000
2 Th 0.1715 0.1715 0.1715
3 C 0.5859 0.5859 0.5859
4 N 0.4147 0.4147 0.4147

Calculated values
M_tot = 0.00 μB/f.u.
Uncorrected energy = -8.8330 eV/atom


[10]
Entry from Alexandria: Th2CN after structural relaxation (GGA-PBE).

Cell lengths 8.3700, 8.3700, 6.4471 Å; angles 104.78, 104.78, 127.19 degrees
Element x y z (fractional)
1 Th 0.0627 0.4378 0.7515
2 Th 0.1868 0.3119 0.2485
3 Th 0.3119 0.1868 0.7485
4 Th 0.4378 0.0627 0.2515
5 Th 0.5622 0.9373 0.7485
6 Th 0.6881 0.8132 0.2515
7 Th 0.8132 0.6881 0.7515
8 Th 0.9373 0.5622 0.2485
9 C 0.1887 0.8113 0.7500
10 C 0.4363 0.5637 0.7500
11 C 0.5637 0.4363 0.2500
12 C 0.8113 0.1887 0.2500
13 N 0.0599 0.9401 0.2500
14 N 0.3151 0.6849 0.2500
15 N 0.6849 0.3151 0.7500
16 N 0.9401 0.0599 0.7500

Calculated values
M_tot = 0.00 μB/f.u.
Uncorrected energy = -9.0381 eV/atom


[11]
Entry from Alexandria: Th4CN2 after structural relaxation (GGA-PBE).

Cell lengths 6.3120, 6.3120, 12.2517 Å; angles 90.00, 90.00, 146.62 degrees
Element x y z (fractional)
1 Th 0.0000 0.0000 0.0000
2 Th 0.0000 0.0000 0.5000
3 Th 0.2832 0.7168 0.6235
4 Th 0.2832 0.7168 0.8765
5 Th 0.4434 0.5566 0.2500
6 Th 0.5566 0.4434 0.7500
7 Th 0.7168 0.2832 0.1235
8 Th 0.7168 0.2832 0.3765
9 C 0.0935 0.9065 0.2500
10 C 0.9065 0.0935 0.7500
11 N 0.3535 0.6465 0.0602
12 N 0.3535 0.6465 0.4398
13 N 0.6465 0.3535 0.5602
14 N 0.6465 0.3535 0.9398

Calculated values
M_tot = 0.00 μB/f.u.
Uncorrected energy = -8.7499 eV/atom


[12]
Entry from Alexandria: Th6CN5 after structural relaxation (GGA-PBE).

Cell lengths 6.3824, 6.3824, 6.3806 Å; angles 99.53, 99.53, 120.06 degrees
Element x y z (fractional)
1 Th 0.0821 0.4163 0.7492
2 Th 0.2490 0.2490 0.2508
3 Th 0.4163 0.0821 0.7492
4 Th 0.5837 0.9179 0.2508
5 Th 0.7510 0.7510 0.7492
6 Th 0.9179 0.5837 0.2508
7 C 0.5000 0.5000 0.0000
8 N 0.0000 0.0000 0.5000
9 N 0.1676 0.8324 0.0000
10 N 0.3365 0.6635 0.5000
11 N 0.6635 0.3365 0.5000
12 N 0.8324 0.1676 0.0000

Calculated values
M_tot = 0.00 μB/f.u.
Uncorrected energy = -9.3124 eV/atom